(1)
{
  "formula": "Ba3Tb2YTe6",
  "functional": "GGA-PBE",
  "state": "relaxed",
  "sg": "No. 12",
  "rho_g_cm3": 6.1,
  "n_ef_per_ev_fu": 5.46,
  "total_energy_ev_per_atom": -4.89,
  "raw_formation_energy_ev_per_atom": -1.532,
  "lattice_angstrom": [[3.975, -6.872, 0.000], [3.975, 6.872, 0.000], [-2.648, 0.000, 7.833]],
  "species": ["Ba", "Ba", "Ba", "Tb", "Tb", "Y", "Te", "Te", "Te", "Te", "Te", "Te"],
  "fractional_positions": [[0.000, 0.000, 0.000], [0.333, 0.667, 0.000], [0.667, 0.333, 0.000], [0.167, 0.833, 0.500], [0.833, 0.167, 0.500], [0.500, 0.500, 0.500], [0.095, 0.428, 0.284], [0.239, 0.239, 0.716], [0.428, 0.095, 0.284], [0.572, 0.905, 0.716], [0.761, 0.761, 0.284], [0.905, 0.572, 0.716]]
}

***

(2)
{
  "formula": "Ba3TbY3Te8",
  "functional": "GGA-PBE",
  "state": "relaxed",
  "sg": "No. 166",
  "rho_g_cm3": 5.5,
  "n_ef_per_ev_fu": 4.17,
  "total_energy_ev_per_atom": -5.21,
  "raw_formation_energy_ev_per_atom": -1.547,
  "lattice_angstrom": [[4.503, 2.600, 7.989], [-4.503, 2.600, 7.989], [0.000, -5.200, 7.989]],
  "species": ["Ba", "Ba", "Ba", "Tb", "Y", "Y", "Y", "Te", "Te", "Te", "Te", "Te", "Te", "Te", "Te"],
  "fractional_positions": [[0.000, 0.500, 0.500], [0.500, 0.000, 0.500], [0.500, 0.500, 0.000], [0.500, 0.500, 0.500], [0.000, 0.000, 0.500], [0.000, 0.500, 0.000], [0.500, 0.000, 0.000], [0.234, 0.741, 0.741], [0.239, 0.239, 0.239], [0.259, 0.259, 0.766], [0.259, 0.766, 0.259], [0.741, 0.234, 0.741], [0.741, 0.741, 0.234], [0.761, 0.761, 0.761], [0.766, 0.259, 0.259]]
}

***

(3)
{
  "formula": "Ba3Tb3YTe8",
  "functional": "GGA-PBE",
  "state": "relaxed",
  "sg": "No. 12",
  "rho_g_cm3": 5.9,
  "n_ef_per_ev_fu": 4.00,
  "total_energy_ev_per_atom": -4.96,
  "raw_formation_energy_ev_per_atom": -1.545,
  "lattice_angstrom": [[7.807, -4.509, 0.000], [7.807, 4.509, 0.000], [-5.200, 0.000, 7.997]],
  "species": ["Ba", "Ba", "Ba", "Tb", "Tb", "Tb", "Y", "Te", "Te", "Te", "Te", "Te", "Te", "Te", "Te"],
  "fractional_positions": [[0.000, 0.000, 0.000], [0.000, 0.500, 0.000], [0.500, 0.000, 0.000], [0.000, 0.500, 0.500], [0.500, 0.000, 0.500], [0.500, 0.500, 0.500], [0.000, 0.000, 0.500], [0.240, 0.240, 0.716], [0.241, 0.735, 0.716], [0.261, 0.261, 0.283], [0.265, 0.759, 0.284], [0.735, 0.241, 0.716], [0.739, 0.739, 0.717], [0.759, 0.265, 0.284], [0.760, 0.760, 0.284]]
}

***

(4)
{
  "formula": "BaTb2Th",
  "functional": "GGA-PBE",
  "state": "relaxed",
  "sg": "No. 166",
  "rho_g_cm3": 7.8,
  "n_ef_per_ev_fu": 5.41,
  "total_energy_ev_per_atom": -4.46,
  "formation_energy_mev_per_atom": 194,
  "relative_energy_kcal_per_mol_atoms": 1.87,
  "lattice_angstrom": [[1.818, 1.050, 12.786], [-1.818, 1.050, 12.786], [0.000, -2.100, 12.786]],
  "species": ["Ba", "Tb", "Tb", "Th"],
  "fractional_positions": [[0.000, 0.000, 0.000], [0.095, 0.095, 0.095], [0.905, 0.905, 0.905], [0.500, 0.500, 0.500]]
}

***

(5)
{
  "formula": "BaTb2Th",
  "functional": "GGA-PBE",
  "state": "relaxed",
  "sg": "No. 123",
  "rho_g_cm3": 7.7,
  "n_ef_per_ev_fu": 5.04,
  "total_energy_ev_per_atom": -4.54,
  "formation_energy_mev_per_atom": 113,
  "relative_energy_kcal_per_mol_atoms": 0.00,
  "lattice_angstrom": [[3.685, 0.000, 0.000], [0.000, 3.685, 0.000], [0.000, 0.000, 10.939]],
  "species": ["Ba", "Tb", "Tb", "Th"],
  "fractional_positions": [[0.000, 0.000, 0.000], [0.500, 0.500, 0.289], [0.500, 0.500, 0.711], [0.000, 0.000, 0.500]]
}

***

(6)
{
  "formula": "BaTbTl",
  "functional": "GGA-PBE",
  "state": "relaxed",
  "sg": "No. 107",
  "rho_g_cm3": 7.3,
  "n_ef_per_ev_fu": 3.77,
  "total_energy_ev_per_atom": -3.12,
  "formation_energy_mev_per_atom": -149,
  "relative_energy_kcal_per_mol_atoms": 3.13,
  "lattice_angstrom": [[-2.022, 2.022, 6.948], [2.022, -2.022, 6.948], [2.022, 2.022, -6.948]],
  "species": ["Ba", "Tb", "Tl"],
  "fractional_positions": [[0.000, 0.000, 0.000], [0.279, 0.279, 0.000], [0.678, 0.678, 0.000]]
}